[1]
Computed, not measured: an optimized crystal structure of UPtS at the PBE level of DFT.

Cell lengths 3.4595, 3.4595, 20.3756 Å; angles 90.00, 90.00, 90.00 degrees
With the nearest neighbours (Å) after each atom.
Space group I4/mmm (No. 139)
One atom of each set of equivalent atoms:
U 0.0000 0.0000 0.1425 x4  5 S 2.76-3.09, 4 Pt 2.92
Pt 0.0000 0.0000 0.4360 x4  1 Pt 2.61, 1 S 2.89
S 0.0000 0.0000 0.2943 x4  5 U 2.76-3.09, 1 Pt 2.89, 4 S 3.04

Final energy   -7.99 eV per atom
Formation energy without anion corrections   -2.528 eV per formula unit

---

[2]
Computed, not measured: an optimized crystal structure of CaTbBr at the PBE level of DFT.

Cell lengths 3.7411, 3.7411, 14.9743 Å; angles 90.00, 90.00, 120.00 degrees
With the nearest neighbours (Å) after each atom.
Space group P-6m2 (No. 187)
One atom of each set of equivalent atoms:
Ca 0.0000 0.0000 0.0000 x1  6 Tb 3.71, 6 Ca 3.74
Ca 0.3333 0.6667 0.5000 x1  6 Br 3.09
Tb 0.3333 0.6667 0.2010 x2  3 Br 3.13
Br 0.0000 0.0000 0.3524 x2  3 Ca 3.09, 3 Tb 3.13

Final energy   -3.48 eV per atom
Formation energy without anion corrections   -2.134 eV per formula unit

---

[3]
Computed, not measured: an optimized crystal structure of PrSm2Zn3 at the PBE level of DFT.

Cell lengths 3.6632, 3.6632, 11.0271 Å; angles 90.00, 90.00, 90.00 degrees
With the nearest neighbours (Å) after each atom.
Space group P4/mmm (No. 123)
One atom of each set of equivalent atoms:
Pr 0.0000 0.0000 0.0000 x1  8 Zn 3.23
Sm 0.0000 0.0000 0.3360 x2  8 Zn 3.14-3.16
Zn 0.5000 0.5000 0.1743 x2  4 Sm 3.14, 4 Pr 3.23
Zn 0.5000 0.5000 0.5000 x1  8 Sm 3.16

Relative energy among the computed polymorphs   0.002 eV per atom
Formation energy from the elements   -7.1 kcal/mol of atoms
Final energy   -3.32 eV per atom

---

[4]
Computed, not measured: an optimized crystal structure of NaSmF4 at the PBE level of DFT.

Cell lengths 7.5422, 7.5422, 7.2273 Å; angles 90.00, 90.00, 90.00 degrees
With the nearest neighbours (Å) after each atom.
Space group I4_1md (No. 109)
One atom of each set of equivalent atoms:
Na 0.0000 0.0000 0.0000 x4  6 F 2.29-2.44
Sm 0.0000 0.0000 0.4849 x4  6 F 2.19-2.32
F 0.0000 0.1962 0.2607 x8  1 Sm 2.19, 2 Na 2.29-2.40
F 0.0000 0.1967 0.7318 x8  2 Sm 2.29-2.32, 1 Na 2.44

Final energy   -5.86 eV per atom
Formation energy without anion corrections   -21.629 eV per formula unit